## CaIn2Co (GGA-PBE)

Data for a relaxed CaIn2Co crystal.

Unit cell a=3.284 b=3.284 c=7.782 alpha=90.00 beta=90.00 gamma=90.00
Element x y z (fractional)
Ca (0.500, 0.500, 0.250)
Co (0.500, 0.500, 0.750)
In (0.000, 0.000, 0.944)
In (0.000, 0.000, 0.556)

Size of the total moment, μB/cell: 0.86
Formation energy, eV/atom: -0.11